This record from the Alexandria database describes crystalline NaCo3O6 at its relaxed geometry. The functional is PBE with a Hubbard U.

Cell: 5.191 5.238 5.268 Å, 64.40 64.27 67.15°
Element x y z (fractional)
Na (0.000, 0.000, 0.000)
Co (0.324, 0.164, 0.235)
Co (0.418, 0.536, 0.488)
Co (0.730, 0.862, 0.698)
O (0.071, 0.512, 0.376)
O (0.142, 0.883, 0.576)
O (0.265, 0.331, 0.890)
O (0.561, 0.803, 0.115)
O (0.603, 0.185, 0.376)
O (0.797, 0.497, 0.608)

Results
Mass density: 4.36 g/cm3
VASP energy: -54.51 eV per cell
Magnetic moment: 7.98 μB/f.u.
SG: P1